Compound: Li2Ti3NiP6O24
Source: the Alexandria database
Functional: SCAN
Structure: single point on PBEsol structure

Results
V   11.9 A^3/atom
ΔE_f (raw)   -2.577 eV per atom

Cell lengths 8.4457, 8.4457, 20.7878 Å; angles 90.00, 90.00, 120.00 degrees
Space group R3 (No. 146, hexagonal axes)
Asymmetric unit:
Li (0.0000, 0.0000, 0.0000) [3 per cell]
Li (0.0000, 0.0000, 0.4920) [3 per cell]
Ti (0.0000, 0.0000, 0.1413) [3 per cell]
Ti (0.0000, 0.0000, 0.6400) [3 per cell]
Ti (0.0000, 0.0000, 0.8597) [3 per cell]
Ni (0.0000, 0.0000, 0.3602) [3 per cell]
P (0.0437, 0.6744, 0.4159) [9 per cell]
P (0.0540, 0.3810, 0.9203) [9 per cell]
O (0.0015, 0.8204, 0.0811) [9 per cell]
O (0.0094, 0.1801, 0.9215) [9 per cell]
O (0.0107, 0.8169, 0.6900) [9 per cell]
O (0.0518, 0.8619, 0.4205) [9 per cell]
O (0.1458, 0.6728, 0.4773) [9 per cell]
O (0.1554, 0.4764, 0.8586) [9 per cell]
O (0.1716, 0.4576, 0.9816) [9 per cell]
O (0.1754, 0.4628, 0.2506) [9 per cell]